*P*
The following is a PBE calculation of crystalline KY2ReRu at its relaxed geometry, from the Alexandria database.

Values from the calculation:
The value obtained for the density of states at the Fermi level is 7.1 states/eV/cell. For the magnetization, the calculation gives 0.074 μB per atom.

Geometry as CIF:
```
data_KY2ReRu
_symmetry_space_group_name_H-M 'P 4/m m m'
_symmetry_Int_Tables_number 123
_symmetry_space_group_name_Hall '-P 4 2'
_cell_length_a 5.1205
_cell_length_b 5.1205
_cell_length_c 4.4118
_cell_angle_alpha 90.00
_cell_angle_beta 90.00
_cell_angle_gamma 90.00
loop_
_atom_site_label
_atom_site_fract_x
_atom_site_fract_y
_atom_site_fract_z
K1 0.0000 0.0000 0.0000
Y1 0.0000 0.5000 0.0000
Re1 0.0000 0.0000 0.5000
Ru1 0.5000 0.5000 0.5000
```


*Q*
The following is a PBE calculation of crystalline KY2ReRu at its relaxed geometry, from the Alexandria database.

Values from the calculation:
The value obtained for the density of states at the Fermi level is 4.3 states/eV/cell. For the magnetization, the calculation gives 0.519 μB per atom.

Geometry as CIF:
```
data_KY2ReRu
_symmetry_space_group_name_H-M 'P 4/m m m'
_symmetry_Int_Tables_number 123
_symmetry_space_group_name_Hall '-P 4 2'
_cell_length_a 5.3073
_cell_length_b 5.3073
_cell_length_c 5.6865
_cell_angle_alpha 90.00
_cell_angle_beta 90.00
_cell_angle_gamma 90.00
loop_
_atom_site_label
_atom_site_fract_x
_atom_site_fract_y
_atom_site_fract_z
K1 0.0000 0.0000 0.0000
Y1 0.0000 0.5000 0.5000
Re1 0.0000 0.0000 0.5000
Ru1 0.5000 0.5000 0.0000
```


What are the relative energies? In eV/atom: *P* 0.786; *Q* 0.000.


*P*
The following is a PBE calculation of crystalline KReS2 at its relaxed geometry, from the Alexandria database.

Values from the calculation:
The value obtained for the density of states at the Fermi level is 10.9 states/eV/cell. For the magnetization, the calculation gives 0.000 μB per atom.

Geometry as CIF:
```
data_KReS2
_symmetry_space_group_name_H-M 'I -4 2 d'
_symmetry_Int_Tables_number 122
_symmetry_space_group_name_Hall 'I -4 2bw'
_cell_length_a 7.0883
_cell_length_b 7.0883
_cell_length_c 8.1298
_cell_angle_alpha 90.00
_cell_angle_beta 90.00
_cell_angle_gamma 90.00
loop_
_atom_site_label
_atom_site_fract_x
_atom_site_fract_y
_atom_site_fract_z
K1 0.0000 0.0000 0.0000
Re1 0.0000 0.0000 0.5000
S1 0.1370 0.2500 0.6250
```


*Q*
The following is a PBE calculation of crystalline KReS2 at its relaxed geometry, from the Alexandria database.

Values from the calculation:
The value obtained for the density of states at the Fermi level is 0.0 states/eV/cell. For the magnetization, the calculation gives 0.000 μB per atom.

Geometry as CIF:
```
data_KReS2
_symmetry_space_group_name_H-M 'F m -3 m'
_symmetry_Int_Tables_number 225
_symmetry_space_group_name_Hall '-F 4 2 3'
_cell_length_a 6.4063
_cell_length_b 6.4063
_cell_length_c 6.4063
_cell_angle_alpha 90.00
_cell_angle_beta 90.00
_cell_angle_gamma 90.00
loop_
_atom_site_label
_atom_site_fract_x
_atom_site_fract_y
_atom_site_fract_z
K1 0.0000 0.0000 0.0000
Re1 0.0000 0.0000 0.5000
S1 0.2500 0.2500 0.2500
```


What are the relative energies? In eV/atom: *P* 0.000; *Q* 0.823.